VASP calculation (PBE-GGA) on crystalline Cs2P2HS6 at its relaxed geometry.

Cell: 7.3713 7.3713 23.7502 Å, 90.00 90.00 120.00°
Space group R-3m (No. 166, hexagonal axes)
Unique sites:
Cs (0.0000, 0.0000, 0.2396) x6
P (0.0000, 0.0000, 0.4179) x6
H (0.0000, 0.0000, 0.0000) x3
S (0.0263, 0.5131, 0.2507) x18

Results
V = 33.9 Å³ per atom
Raw total energy = -4.084 eV per atom
ρ = 2.32 g cm⁻³



VASP calculation (PBE-GGA) on crystalline CsP2H6S at its relaxed geometry.

Cell: 7.828 12.030 6.821 Å, 90.00 90.40 90.00°
Space group C2/c (No. 15)
Unique sites:
Cs (0.000, 0.189, 0.250) x4
P (0.244, 0.058, 0.747) x8
H (0.146, 0.164, 0.747) x8
H (0.146, 0.407, 0.409) x8
H (0.147, 0.408, 0.095) x8
S (0.000, 0.327, 0.750) x4

Results
V = 16.1 Å³ per atom
Raw total energy = -3.666 eV per atom
ρ = 2.41 g cm⁻³



VASP calculation (PBE-GGA) on crystalline Cs3P2H6S at its relaxed geometry.

Cell: 6.0828 6.0828 7.5051 Å, 90.00 90.00 120.00°
Space group P-3m1 (No. 164)
Unique sites:
Cs (0.0000, 0.0000, 0.0000) x1
Cs (0.3333, 0.6667, 0.6392) x2
P (0.3333, 0.6667, 0.1309) x2
H (0.2197, 0.4394, 0.2444) x6
S (0.0000, 0.0000, 0.5000) x1

Results
V = 20.0 Å³ per atom
Raw total energy = -3.391 eV per atom
ρ = 3.44 g cm⁻³



VASP calculation (PBE-GGA) on crystalline CsPHSe3 at its relaxed geometry.

Cell: 13.453 7.736 7.133 Å, 90.00 102.85 90.00°
Space group C2/m (No. 12)
Unique sites:
Cs (0.198, 0.000, 0.207) x4
P (0.027, 0.500, 0.165) x4
H (0.000, 0.282, 0.500) x4
Se (0.047, 0.261, 0.753) x8
Se (0.191, 0.500, 0.248) x4

Results
V = 30.2 Å³ per atom
Raw total energy = -3.815 eV per atom
ρ = 3.69 g cm⁻³



> The lowest V belongs to which entry?

CsP2H6S



> Which value of raw total energy does entry 1 give?

-4.084 eV per atom



> Which of these has the highest raw total energy?

Cs3P2H6S



Copy entry 2 word for word.
VASP calculation (PBE-GGA) on crystalline CsP2H6S at its relaxed geometry.

Cell: 7.828 12.030 6.821 Å, 90.00 90.40 90.00°
Space group C2/c (No. 15)
Unique sites:
Cs (0.000, 0.189, 0.250) x4
P (0.244, 0.058, 0.747) x8
H (0.146, 0.164, 0.747) x8
H (0.146, 0.407, 0.409) x8
H (0.147, 0.408, 0.095) x8
S (0.000, 0.327, 0.750) x4

Results
V = 16.1 Å³ per atom
Raw total energy = -3.666 eV per atom
ρ = 2.41 g cm⁻³